# SiTc2IrS, optimized geometry, DFT PBE
data_SiTc2IrS
_space_group_name_H-M_alt 'P 4/m m m'
_space_group_IT_number 123
_space_group_name_Hall '-P 4 2'
_cell_length_a 4.944
_cell_length_b 4.944
_cell_length_c 4.441
_cell_angle_alpha 90.00
_cell_angle_beta 90.00
_cell_angle_gamma 90.00
loop_
_atom_site_label
_atom_site_fract_x
_atom_site_fract_y
_atom_site_fract_z
_atom_site_occupancy
Si1 0.000 0.000 0.000 1
Tc1 0.000 0.500 0.500 1
Ir1 0.000 0.000 0.500 1
S1 0.500 0.500 0.000 1
# E (eV for the cell shown): -31.925